Entry 1:
Crystalline HoAl2Ru2 at its relaxed geometry, computed with PBE-GGA.

Properties
ΔE_f = -485 meV per atom
symmetry = No. 139
M_tot = 0.024 μB per atom
calculated volume = 177.8 Å³ per cell
DFT total energy = -6.608 eV/atom

a = 3.9982 Å, b = 3.9982 Å, c = 11.4759 Å
α = 100.03°, β = 100.03°, γ = 90.00°
Each line ends with the local moment (μB).
Fractional positions:
Ru1 0.7500 0.2500 0.5000  0.15
Ru2 0.9317 0.9317 0.8635  -0.01
Al1 0.0000 0.5000 0.0000  0.00
Ho1 0.3741 0.3741 0.7481  -0.01
Ru3 0.0683 0.0683 0.1365  -0.01
Ru4 0.2500 0.7500 0.5000  0.15
Al2 0.1816 0.1816 0.3633  0.00
Al3 0.5000 0.0000 0.0000  0.00
Ho2 0.6259 0.6259 0.2519  -0.01
Al4 0.8184 0.8184 0.6367  0.00

***

Entry 2:
Crystalline Ho2AlSi2Ru5 at its relaxed geometry, computed with PBE-GGA.

Properties
symmetry = No. 127
M_tot = 0.000 μB per atom
calculated volume = 318.4 Å³ per cell
DFT total energy = -7.693 eV/atom

a = 3.2289 Å, b = 9.9304 Å, c = 9.9304 Å
α = 90.00°, β = 90.00°, γ = 90.00°
Fractional positions:
Ho1 0.0000 0.8273 0.6727
Ho2 0.0000 0.3273 0.8273
Ru1 0.5000 0.9328 0.2062
Ru2 0.5000 0.4328 0.2938
Al1 0.0000 0.0000 0.0000
Ru3 0.5000 0.0000 0.5000
Ru4 0.5000 0.5000 0.0000
Ru5 0.5000 0.7938 0.9328
Si1 0.0000 0.8717 0.3717
Si2 0.0000 0.1283 0.6283
Ho3 0.0000 0.6727 0.1727
Ru6 0.5000 0.5672 0.7062
Al2 0.0000 0.5000 0.5000
Si3 0.0000 0.6283 0.8717
Ru7 0.5000 0.7062 0.4328
Ho4 0.0000 0.1727 0.3273
Ru8 0.5000 0.2938 0.5672
Ru9 0.5000 0.0672 0.7938
Ru10 0.5000 0.2062 0.0672
Si4 0.0000 0.3717 0.1283

***

Entry 3:
Crystalline Ho2U2AlRu5 at its relaxed geometry, computed with PBE-GGA.

Properties
ΔE_f = -229 meV per atom
symmetry = No. 127
M_tot = 0.000 μB per atom
calculated volume = 372.8 Å³ per cell
DFT total energy = -8.414 eV/atom

a = 3.2659 Å, b = 10.6837 Å, c = 10.6837 Å
α = 90.00°, β = 90.00°, γ = 90.00°
Fractional positions:
U1 0.0000 0.6534 0.8466
Ru1 0.5000 0.3083 0.5585
Ho1 0.0000 0.3395 0.8395
Ru2 0.5000 0.0000 0.5000
Ru3 0.5000 0.8083 0.9415
Ru4 0.5000 0.5585 0.6917
Ru5 0.5000 0.0585 0.8083
Ho2 0.0000 0.1605 0.3395
Ru6 0.5000 0.9415 0.1917
Ho3 0.0000 0.6605 0.1605
Al1 0.0000 0.5000 0.5000
Ru7 0.5000 0.1917 0.0585
Ru8 0.5000 0.5000 0.0000
Ru9 0.5000 0.4415 0.3083
Ho4 0.0000 0.8395 0.6605
Al2 0.0000 0.0000 0.0000
U2 0.0000 0.1534 0.6534
Ru10 0.5000 0.6917 0.4415
U3 0.0000 0.3466 0.1534
U4 0.0000 0.8466 0.3466

***

Entry 4:
Crystalline Ho2AlV2Ru5 at its relaxed geometry, computed with PBE-GGA.

Properties
ΔE_f = -292 meV per atom
symmetry = No. 127
M_tot = 0.000 μB per atom
calculated volume = 331.4 Å³ per cell
DFT total energy = -8.043 eV/atom

a = 3.1822 Å, b = 10.2042 Å, c = 10.2042 Å
α = 90.00°, β = 90.00°, γ = 90.00°
Fractional positions:
V1 0.0000 0.6299 0.8701
Ho1 0.0000 0.3278 0.8278
Ru1 0.5000 0.7004 0.4341
Al1 0.0000 0.5000 0.5000
Ru2 0.5000 0.0000 0.5000
V2 0.0000 0.3701 0.1299
Ru3 0.5000 0.5000 0.0000
Ru4 0.5000 0.4341 0.2996
Ru5 0.5000 0.7996 0.9341
Ru6 0.5000 0.0659 0.7996
Ru7 0.5000 0.5659 0.7004
Ru8 0.5000 0.2996 0.5659
V3 0.0000 0.1299 0.6299
Ru9 0.5000 0.9341 0.2004
Ho2 0.0000 0.8278 0.6722
Ho3 0.0000 0.1722 0.3278
Ru10 0.5000 0.2004 0.0659
V4 0.0000 0.8701 0.3701
Al2 0.0000 0.0000 0.0000
Ho4 0.0000 0.6722 0.1722

***

Entry 5:
Crystalline Ho2Al2Ru5W at its relaxed geometry, computed with PBE-GGA.

Properties
ΔE_f = -393 meV per atom
symmetry = No. 127
M_tot = 0.000 μB per atom
calculated volume = 332.4 Å³ per cell
DFT total energy = -7.990 eV/atom

a = 3.2425 Å, b = 10.1255 Å, c = 10.1255 Å
α = 90.00°, β = 90.00°, γ = 90.00°
Fractional positions:
Al1 0.0000 0.3734 0.1267
Ru1 0.5000 0.0000 0.5000
W1 0.0000 0.0000 0.0000
Ru2 0.5000 0.1968 0.0651
Ho1 0.0000 0.6716 0.1716
Ho2 0.0000 0.1716 0.3284
Ru3 0.5000 0.5000 0.0000
Ho3 0.0000 0.3284 0.8284
Al2 0.0000 0.1267 0.6266
Al3 0.0000 0.8734 0.3734
Ru4 0.5000 0.6968 0.4349
Ru5 0.5000 0.9349 0.1968
W2 0.0000 0.5000 0.5000
Al4 0.0000 0.6266 0.8734
Ru6 0.5000 0.5651 0.6968
Ru7 0.5000 0.8032 0.9349
Ru8 0.5000 0.3032 0.5651
Ho4 0.0000 0.8284 0.6716
Ru9 0.5000 0.0651 0.8032
Ru10 0.5000 0.4349 0.3032

***

Entry 6:
Crystalline YHoAlRu at its relaxed geometry, computed with PBE-GGA.

Properties
ΔE_f = -362 meV per atom
symmetry = No. 216
M_tot = 0.000 μB per atom
calculated volume = 85.8 Å³ per cell
DFT total energy = -6.377 eV/atom

a = 4.9504 Å, b = 4.9504 Å, c = 4.9504 Å
α = 60.00°, β = 60.00°, γ = 60.00°
Fractional positions:
Ru1 0.7500 0.7500 0.7500
Ho1 0.0000 0.0000 0.0000
Y1 0.5000 0.5000 0.5000
Al1 0.2500 0.2500 0.2500

***

Entry 7:
Crystalline HoZrAlRu at its relaxed geometry, computed with PBE-GGA.

Properties
ΔE_f = -357 meV per atom
symmetry = No. 216
M_tot = 0.000 μB per atom
calculated volume = 79.3 Å³ per cell
DFT total energy = -6.893 eV/atom

a = 4.8223 Å, b = 4.8223 Å, c = 4.8223 Å
α = 60.00°, β = 60.00°, γ = 60.00°
Fractional positions:
Zr1 0.5000 0.5000 0.5000
Ru1 0.7500 0.7500 0.7500
Al1 0.2500 0.2500 0.2500
Ho1 0.0000 0.0000 0.0000

***

Entry 8:
Crystalline Ho2AlS at its relaxed geometry, computed with PBE-GGA.

Properties
symmetry = No. 160
M_tot = 0.000 μB per atom
calculated volume = 94.7 Å³ per cell
DFT total energy = -5.307 eV/atom

a = 3.7185 Å, b = 3.7185 Å, c = 8.1950 Å
α = 76.89°, β = 76.89°, γ = 60.00°
Fractional positions:
Ho1 0.0701 0.0701 0.7897
Al1 0.4996 0.4996 0.5012
S1 0.6675 0.6675 0.9975
Ho2 0.2628 0.2628 0.2117

***

Entry 9:
Crystalline Ho6AlS4 at its relaxed geometry, computed with PBE-GGA.

Properties
symmetry = No. 63
M_tot = 0.000 μB per atom
calculated volume = 500.2 Å³ per cell
DFT total energy = -5.865 eV/atom

a = 3.8710 Å, b = 6.7835 Å, c = 19.8768 Å
α = 90.00°, β = 90.00°, γ = 106.58°
Fractional positions:
Ho1 0.5000 0.0000 0.0000
S1 0.1383 0.2767 0.4609
S2 0.8617 0.7233 0.5391
Al1 0.3331 0.6661 0.7500
Ho2 0.2282 0.4564 0.5861
S3 0.4091 0.8183 0.3779
S4 0.4091 0.8183 0.1221
Ho3 0.0447 0.0895 0.3389
Ho4 0.2282 0.4564 0.9139
Al2 0.6669 0.3339 0.2500
S5 0.8617 0.7233 0.9609
Ho5 0.0447 0.0895 0.1610
Ho6 0.5000 0.0000 0.5000
Ho7 0.7718 0.5436 0.4139
Ho8 0.9553 0.9105 0.8390
S6 0.5909 0.1817 0.8779
Ho9 0.6576 0.3151 0.7500
Ho10 0.7718 0.5436 0.0861
S7 0.1383 0.2767 0.0391
Ho11 0.3424 0.6849 0.2500
Ho12 0.9553 0.9105 0.6610
S8 0.5909 0.1817 0.6221

***

Entry 10:
Crystalline Ho4Al2S at its relaxed geometry, computed with PBE-GGA.

Properties
symmetry = No. 12
M_tot = 0.000 μB per atom
calculated volume = 174.0 Å³ per cell
DFT total energy = -5.057 eV/atom

a = 3.9921 Å, b = 6.3965 Å, c = 7.5387 Å
α = 76.54°, β = 74.65°, γ = 71.82°
Fractional positions:
S1 0.0000 0.0000 0.0000
Ho1 0.0925 0.1807 0.6344
Al1 0.6192 0.4240 0.3375
Al2 0.3808 0.5760 0.6625
Ho2 0.3295 0.2653 0.0757
Ho3 0.9075 0.8193 0.3656
Ho4 0.6705 0.7347 0.9243

***

Entry 11:
Crystalline Ho2AlS at its relaxed geometry, computed with PBE-GGA.

Properties
symmetry = No. 63
M_tot = 0.000 μB per atom
calculated volume = 181.1 Å³ per cell
DFT total energy = -5.453 eV/atom

a = 4.1318 Å, b = 3.9376 Å, c = 11.3021 Å
α = 100.03°, β = 90.00°, γ = 90.00°
Fractional positions:
Ho1 0.2500 0.0736 0.1472
Ho2 0.7500 0.9264 0.8528
S1 0.7500 0.8056 0.6111
Ho3 0.7500 0.6844 0.3688
S2 0.2500 0.1944 0.3889
Al1 0.2500 0.4623 0.9246
Al2 0.7500 0.5377 0.0754
Ho4 0.2500 0.3156 0.6312

***

Entry 12:
Crystalline Ho2AlS at its relaxed geometry, computed with PBE-GGA.

Properties
symmetry = No. 166
M_tot = 0.000 μB per atom
calculated volume = 106.8 Å³ per cell
DFT total energy = -4.885 eV/atom

a = 3.6346 Å, b = 3.6346 Å, c = 9.5719 Å
α = 79.06°, β = 79.06°, γ = 60.00°
Fractional positions:
Al1 0.0000 0.0000 0.0000
Ho1 0.1076 0.1076 0.6772
S1 0.5000 0.5000 0.5000
Ho2 0.8924 0.8924 0.3228